This record from Alexandria via LeMat-Bulk describes an optimized crystal structure of Sr15Ca4Mg. The functional is GGA-PBE.

Cell and atoms, written as extended XYZ:
```
20
Lattice="-1.479 3.945 -4.069 -0.687 -4.299 -3.919 -28.072 -2.556 7.725" Properties=species:S:1:pos:R:3 pbc="T T T"
Sr -25.830 -4.471 5.054
Sr -26.226 -0.348 4.978
Sr -6.514 -0.672 -2.499
Sr -2.929 -2.385 -1.248
Sr -20.104 -3.949 3.478
Sr -23.724 -2.239 2.236
Sr -14.380 -3.428 1.903
Sr -1.083 -0.177 -3.994
Sr -20.500 0.173 3.403
Sr -17.979 -1.716 0.655
Sr -12.259 -1.195 -0.919
Sr -8.655 -2.907 0.328
Sr -14.776 0.694 1.828
Sr -3.325 1.737 -1.323
Sr -9.052 1.216 0.253
Ca -16.900 -1.539 4.650
Ca -11.173 -1.017 3.074
Ca -22.609 -2.059 6.221
Ca -5.463 -0.497 1.503
Mg 0.000 0.000 0.000
```

Calculated values
Its calculated volume is 1002.8 Å³ per cell. The calculation puts the spin magnetization at 0.000 μB/atom. The value obtained for the density of states at the Fermi level is 24.06 states/eV/f.u. The crystal system is tetragonal. The calculated formation energy is 0.017 eV/atom. The total energy comes out at -1.725 eV/atom.

This record from Alexandria via LeMat-Bulk describes an optimized crystal structure of SrCa2Mg9. The functional is GGA-PBE.

Cell and atoms, written as extended XYZ:
```
12
Lattice="-0.688 2.642 -5.607 -4.670 -1.775 -3.731 -7.694 7.332 0.930" Properties=species:S:1:pos:R:3 pbc="T T T"
Mg -6.537 6.889 -2.889
Mg -6.526 4.099 -4.204
Mg -6.515 1.310 -5.520
Mg -9.473 7.613 -2.187
Mg -8.893 5.993 -4.771
Mg -4.159 2.205 -3.637
Mg -8.546 4.660 -1.942
Mg -4.506 3.538 -6.466
Mg -3.579 0.585 -6.221
Sr 0.000 0.000 0.000
Ca -7.915 3.915 -7.588
Ca -5.136 4.283 -0.820
```

Calculated values
Its calculated volume is 338.2 Å³ per cell. The calculation puts the spin magnetization at 0.000 μB/atom. The value obtained for the density of states at the Fermi level is 9.99 states/eV/f.u. The crystal system is trigonal. The calculated formation energy is -0.081 eV/atom. The total energy comes out at -1.751 eV/atom.

This record from Alexandria via LeMat-Bulk describes an optimized crystal structure of Sr2Ca2Mg. The functional is GGA-PBE.

Cell and atoms, written as extended XYZ:
```
10
Lattice="8.935 0.000 0.000 0.000 8.935 0.000 0.000 0.000 5.847" Properties=species:S:1:pos:R:3 pbc="T T T"
Sr 1.333 3.134 0.000
Sr 5.801 1.333 0.000
Sr 3.134 7.602 0.000
Sr 7.602 5.801 0.000
Mg 0.000 0.000 0.000
Mg 4.468 4.468 0.000
Ca 5.899 7.504 2.924
Ca 3.036 1.432 2.924
Ca 1.432 5.899 2.924
Ca 7.504 3.036 2.924
```

Calculated values
The calculation puts the energy above the most stable polymorph in this dataset at 234.7 meV/atom. Its calculated volume is 466.8 Å³ per cell. The calculation puts the spin magnetization at 0.000 μB/atom. The value obtained for the density of states at the Fermi level is 4.71 states/eV/f.u. The crystal system is tetragonal. The calculated formation energy is 0.223 eV/atom. The total energy comes out at -1.569 eV/atom.

This record from Alexandria via LeMat-Bulk describes an optimized crystal structure of SrCa5Mg6. The functional is GGA-PBE.

Cell and atoms, written as extended XYZ:
```
12
Lattice="5.381 -0.032 1.793 0.043 8.002 0.014 0.014 -0.016 8.928" Properties=species:S:1:pos:R:3 pbc="T T T"
Mg 2.722 5.923 0.907
Mg 0.940 2.044 6.184
Mg 4.476 2.028 4.545
Mg 0.961 5.926 6.191
Mg 4.497 5.910 4.552
Mg 2.701 2.048 0.900
Ca 3.606 3.969 7.191
Ca 1.832 3.985 3.545
Ca 0.021 4.001 0.007
Ca 3.598 -0.032 7.142
Ca 1.796 -0.016 3.580
Sr 0.000 0.000 0.000
```

Calculated values
Its calculated volume is 384.2 Å³ per cell. The calculation puts the spin magnetization at 0.000 μB/atom. The value obtained for the density of states at the Fermi level is 11.47 states/eV/f.u. The crystal system is orthorhombic. The calculated formation energy is -0.075 eV/atom. The total energy comes out at -1.846 eV/atom.

This record from Alexandria via LeMat-Bulk describes an optimized crystal structure of Sr3CaMg3. The functional is GGA-PBE.

Cell and atoms, written as extended XYZ:
```
14
Lattice="8.225 0.387 -0.001 0.406 8.224 -0.001 0.001 0.001 8.107" Properties=species:S:1:pos:R:3 pbc="T T T"
Mg 8.631 8.611 6.172
Mg 4.112 0.194 1.920
Mg 8.428 4.500 6.184
Mg 0.203 4.111 1.920
Mg 4.520 8.418 6.184
Mg 0.001 0.001 1.933
Ca 1.967 1.962 8.106
Ca 6.665 6.649 -0.001
Sr 6.093 2.524 4.052
Sr 2.538 6.087 4.052
Sr 2.631 5.994 -0.001
Sr 6.633 6.617 4.051
Sr 1.999 1.994 4.054
Sr 6.000 2.617 -0.001
```

Calculated values
Its calculated volume is 547.0 Å³ per cell. The calculation puts the spin magnetization at 0.000 μB/atom. The value obtained for the density of states at the Fermi level is 5.95 states/eV/f.u. The crystal system is orthorhombic. The calculated formation energy is 0.004 eV/atom. The total energy comes out at -1.686 eV/atom.

This record from Alexandria via LeMat-Bulk describes an optimized crystal structure of SrCa7Mg2. The functional is GGA-PBE.

Cell and atoms, written as extended XYZ:
```
10
Lattice="6.258 0.000 0.000 0.000 9.310 0.041 0.000 -4.071 8.373" Properties=species:S:1:pos:R:3 pbc="T T T"
Ca 3.129 2.524 7.916
Ca 0.000 -0.333 6.046
Ca 3.129 2.620 4.207
Ca 3.129 5.990 5.757
Ca 3.129 -0.751 2.657
Ca 0.000 5.572 2.368
Ca 3.129 2.716 0.498
Mg 3.129 -0.091 5.895
Mg 3.129 5.331 2.519
Sr 0.000 0.000 0.000
```

Calculated values
Its calculated volume is 488.9 Å³ per cell. The calculation puts the spin magnetization at 0.000 μB/atom. The value obtained for the density of states at the Fermi level is 12.22 states/eV/f.u. The crystal system is orthorhombic. The calculated formation energy is 0.263 eV/atom. The total energy comes out at -1.625 eV/atom.

This record from Alexandria via LeMat-Bulk describes an optimized crystal structure of Sr2Ca5Mg. The functional is GGA-PBE.

Cell and atoms, written as extended XYZ:
```
8
Lattice="5.559 0.000 0.000 0.000 5.559 0.000 -2.780 -2.780 10.868" Properties=species:S:1:pos:R:3 pbc="T T T"
Sr 0.000 0.000 5.470
Sr 2.780 2.780 5.398
Ca 2.780 0.000 8.448
Ca 2.780 2.780 0.000
Ca 0.000 2.780 2.419
Ca 2.780 0.000 2.419
Ca 0.000 2.780 8.448
Mg 0.000 0.000 0.000
```

Calculated values
Its calculated volume is 335.8 Å³ per cell. The calculation puts the spin magnetization at 0.000 μB/atom. The value obtained for the density of states at the Fermi level is 10.74 states/eV/f.u. The crystal system is tetragonal. The calculated formation energy is 0.017 eV/atom. The total energy comes out at -1.854 eV/atom.

This record from Alexandria via LeMat-Bulk describes an optimized crystal structure of SrCa4Mg. The functional is GGA-PBE.

Cell and atoms, written as extended XYZ:
```
6
Lattice="-1.739 3.689 -0.273 -2.581 -1.426 -2.831 -9.411 -3.667 10.428" Properties=species:S:1:pos:R:3 pbc="T T T"
Sr 0.000 0.000 0.000
Ca -9.726 -1.817 6.832
Ca -4.005 0.413 0.492
Ca -5.921 -2.307 6.560
Ca -3.490 -1.360 3.867
Mg -6.865 -0.702 3.662
```

Calculated values
The calculation puts the energy above the most stable polymorph in this dataset at 0.0 meV/atom. Its calculated volume is 242.5 Å³ per cell. The calculation puts the spin magnetization at 0.000 μB/atom. The value obtained for the density of states at the Fermi level is 8.18 states/eV/f.u. The crystal system is tetragonal. The calculated formation energy is -0.012 eV/atom. The total energy comes out at -1.893 eV/atom.

This record from Alexandria via LeMat-Bulk describes an optimized crystal structure of SrCa5Mg. The functional is GGA-PBE.

Cell and atoms, written as extended XYZ:
```
14
Lattice="7.575 -0.201 0.873 2.212 7.247 0.873 4.044 2.911 12.111" Properties=species:S:1:pos:R:3 pbc="T T T"
Ca 8.862 4.970 7.208
Ca 8.328 4.585 12.704
Ca 3.084 3.612 3.498
Ca 7.406 6.723 4.303
Ca 4.968 4.987 6.649
Ca 3.759 7.231 3.900
Ca 10.747 6.346 10.359
Ca 6.425 3.234 9.554
Ca 10.071 2.727 9.956
Ca 5.503 5.372 1.152
Mg 0.000 0.000 0.000
Mg 2.022 1.456 6.056
Sr 6.907 2.858 3.900
Sr 6.924 7.099 9.956
```

Calculated values
The calculation puts the energy above the most stable polymorph in this dataset at 83.3 meV/atom. Its calculated volume is 630.4 Å³ per cell. The calculation puts the spin magnetization at 0.000 μB/atom. The value obtained for the density of states at the Fermi level is 6.86 states/eV/f.u. The crystal system is monoclinic. The calculated formation energy is 0.169 eV/atom. The total energy comes out at -1.728 eV/atom.

This record from Alexandria via LeMat-Bulk describes an optimized crystal structure of Sr2CaMg9. The functional is GGA-PBE.

Cell and atoms, written as extended XYZ:
```
12
Lattice="-3.273 4.025 3.559 1.091 0.333 6.187 6.319 8.623 1.620" Properties=species:S:1:pos:R:3 pbc="T T T"
Sr 0.827 7.419 9.050
Sr 3.310 5.561 2.316
Mg 2.069 6.490 5.683
Mg 0.635 3.930 4.467
Mg -1.448 2.912 6.495
Mg 5.585 10.069 4.870
Mg 2.954 8.883 3.792
Mg 5.146 7.029 5.111
Mg -1.009 5.951 6.254
Mg 1.183 4.097 7.574
Mg 3.502 9.050 6.899
Ca 0.000 0.000 0.000
```

Calculated values
Its calculated volume is 349.0 Å³ per cell. The calculation puts the spin magnetization at 0.000 μB/atom. The value obtained for the density of states at the Fermi level is 8.95 states/eV/f.u. The crystal system is trigonal. The calculated formation energy is -0.056 eV/atom. The total energy comes out at -1.700 eV/atom.

This record from Alexandria via LeMat-Bulk describes an optimized crystal structure of Sr2Ca8Mg. The functional is GGA-PBE.

Cell and atoms, written as extended XYZ:
```
11
Lattice="-1.229 -3.792 4.026 5.421 -1.646 0.105 2.917 10.284 10.576" Properties=species:S:1:pos:R:3 pbc="T T T"
Ca 4.169 4.319 5.340
Ca 0.844 3.246 7.301
Ca 5.257 8.157 9.287
Ca -0.245 -0.592 3.355
Ca 3.080 0.482 1.394
Ca 1.932 7.083 11.248
Ca 4.088 4.304 9.288
Ca 3.021 0.542 5.419
Mg 0.000 0.000 0.000
Sr 2.009 7.082 7.283
Sr 0.908 3.202 3.293
```

Calculated values
The calculation puts the energy above the most stable polymorph in this dataset at 32.0 meV/atom. Its calculated volume is 482.7 Å³ per cell. The calculation puts the spin magnetization at 0.000 μB/atom. The value obtained for the density of states at the Fermi level is 13.49 states/eV/f.u. The crystal system is tetragonal. The calculated formation energy is 0.055 eV/atom. The total energy comes out at -1.851 eV/atom.

This record from Alexandria via LeMat-Bulk describes an optimized crystal structure of Sr2Ca8Mg. The functional is GGA-PBE.

Cell and atoms, written as extended XYZ:
```
11
Lattice="-4.074 2.346 3.833 -2.932 -6.908 1.111 8.115 -3.344 5.872" Properties=species:S:1:pos:R:3 pbc="T T T"
Mg -2.037 1.173 1.917
Ca 1.429 -6.016 10.000
Ca 1.450 -7.702 6.255
Ca -0.341 -0.204 4.562
Ca -0.320 -1.890 0.817
Ca 3.803 -4.714 6.927
Ca -2.693 -3.191 3.890
Ca -0.672 -6.367 3.182
Ca 1.782 -1.539 7.634
Sr -0.571 -4.524 6.961
Sr 1.680 -3.382 3.855
```

Calculated values
The calculation puts the energy above the most stable polymorph in this dataset at 0.0 meV/atom. Its calculated volume is 464.1 Å³ per cell. The calculation puts the spin magnetization at 0.000 μB/atom. The value obtained for the density of states at the Fermi level is 13.82 states/eV/f.u. The crystal system is monoclinic. The calculated formation energy is 0.023 eV/atom. The total energy comes out at -1.883 eV/atom.